YMgGePt | GGA-PBE | optimized geometry

abc: 4.819 4.819 4.819
angles: 60.00 60.00 60.00
Fractional positions:
Y 0.000 0.000 0.000
Mg 0.500 0.500 0.500
Ge 0.750 0.750 0.750
Pt 0.250 0.250 0.250

Computed properties:
The final energy comes out at -21.702 eV/f.u. The calculation puts the total moment at 0.00 μB/f.u. As for the energy of formation: -0.75 eV/atom.